1.
## Sm3TmSn12 (PBE)

Data for a geometry-optimized Sm3TmSn12 structure.

Summary:
VASP energy: -4.621 eV per atom
Symmetry: P4/mmm

Lattice parameters (Å, degrees): 4.7550 4.7550 18.7683 90.00 90.00 90.00
Sites, in units of the cell vectors:
Sn 0.5000 0.0000 0.6260
Sn 0.0000 0.5000 0.3740
Sn 0.5000 0.5000 0.5000
Sn 0.5000 0.5000 0.7523
Tm 0.0000 0.0000 0.0000
Sm 0.0000 0.0000 0.5000
Sn 0.5000 0.5000 0.0000
Sn 0.5000 0.5000 0.2477
Sn 0.0000 0.5000 0.8784
Sm 0.0000 0.0000 0.7512
Sn 0.5000 0.0000 0.3740
Sn 0.5000 0.0000 0.8784
Sn 0.5000 0.0000 0.1216
Sm 0.0000 0.0000 0.2488
Sn 0.0000 0.5000 0.6260
Sn 0.0000 0.5000 0.1216

---

2.
## Sm2Tm3Sn2 (PBE)

Data for a geometry-optimized Sm2Tm3Sn2 structure.

Summary:
VASP energy: -4.865 eV per atom
Symmetry: C2/m

Lattice parameters (Å, degrees): 4.4469 6.3826 8.4965 109.38 90.00 110.39
Sites, in units of the cell vectors:
Sm 0.1355 0.2710 0.7902
Sm 0.8645 0.7290 0.2098
Sn 0.8307 0.6613 0.7966
Tm 0.6236 0.2471 0.4384
Tm 0.5000 0.0000 0.0000
Tm 0.3764 0.7529 0.5616
Sn 0.1693 0.3387 0.2034

---

3.
## SmTmSn6 (PBE)

Data for a geometry-optimized SmTmSn6 structure.

Summary:
VASP energy: -4.575 eV per atom
Symmetry: P4/mmm

Lattice parameters (Å, degrees): 4.7941 4.7941 9.1705 90.00 90.00 90.00
Sites, in units of the cell vectors:
Sn 0.0000 0.5000 0.2549
Sn 0.5000 0.5000 0.0000
Sn 0.5000 0.0000 0.7451
Tm 0.0000 0.0000 0.5000
Sn 0.5000 0.0000 0.2549
Sn 0.5000 0.5000 0.5000
Sn 0.0000 0.5000 0.7451
Sm 0.0000 0.0000 0.0000

---

4.
## Sm6TmSn4 (PBE)

Data for a geometry-optimized Sm6TmSn4 structure.

Summary:
VASP energy: -4.771 eV per atom
Symmetry: I-42m

Lattice parameters (Å, degrees): 8.2150 8.2150 8.2150 85.98 122.35 122.35
Sites, in units of the cell vectors:
Sn 0.0000 0.1717 0.6309
Sm 0.0000 0.8266 0.5042
Tm 0.0000 0.0000 0.0000
Sn 0.4592 0.8283 0.8283
Sm 0.0000 0.5042 0.8266
Sn 0.5408 0.3691 0.3691
Sm 0.3224 0.4958 0.4958
Sm 0.5000 0.0000 0.5000
Sm 0.6776 0.1734 0.1734
Sn 0.0000 0.6309 0.1717
Sm 0.5000 0.5000 0.0000

---

5.
## Sm2Tm8Sn (PBE)

Data for a geometry-optimized Sm2Tm8Sn structure.

Summary:
VASP energy: -4.453 eV per atom
Symmetry: C2/m

Lattice parameters (Å, degrees): 5.6499 9.7274 9.7274 40.11 92.50 92.50
Sites, in units of the cell vectors:
Tm 0.7385 0.8623 0.3806
Tm 0.7705 0.8302 0.8302
Tm 0.2295 0.1698 0.1698
Tm 0.7385 0.3806 0.8623
Tm 0.2615 0.1377 0.6194
Sn 0.0000 0.0000 0.0000
Tm 0.7721 0.4481 0.4481
Sm 0.2572 0.7217 0.7217
Tm 0.2615 0.6194 0.1377
Tm 0.2279 0.5519 0.5519
Sm 0.7428 0.2783 0.2783

---

6.
## SmTm3Sn2 (PBE)

Data for a geometry-optimized SmTm3Sn2 structure.

Summary:
VASP energy: -4.837 eV per atom
Symmetry: C2/m

Lattice parameters (Å, degrees): 4.5341 10.3567 9.4140 124.78 90.00 102.64
Sites, in units of the cell vectors:
Tm 0.9439 0.8878 0.5770
Sn 0.7565 0.5129 0.2263
Tm 0.6923 0.3846 0.4960
Sm 0.8858 0.7717 0.9047
Sn 0.2435 0.4871 0.7737
Tm 0.0561 0.1122 0.4230
Sn 0.5109 0.0217 0.1679
Tm 0.3569 0.7137 0.1969
Tm 0.6431 0.2863 0.8031
Sn 0.4891 0.9783 0.8321
Sm 0.1142 0.2283 0.0953
Tm 0.3077 0.6154 0.5040

---

7.
## Sm3TmSn (PBE)

Data for a geometry-optimized Sm3TmSn structure.

Summary:
VASP energy: -4.680 eV per atom
Symmetry: C2/c

Lattice parameters (Å, degrees): 8.4854 8.4854 12.3841 85.17 85.17 45.62
Sites, in units of the cell vectors:
Sn 0.4288 0.5712 0.7500
Sm 0.8053 0.0463 0.0915
Tm 0.7111 0.4889 0.9438
Sm 0.9622 0.2442 0.6769
Sm 0.1947 0.9537 0.9085
Tm 0.5111 0.2888 0.5562
Sn 0.5712 0.4288 0.2500
Sm 0.0463 0.8053 0.5915
Sn 0.0000 0.5000 0.5000
Sm 0.4162 0.1583 0.3110
Sm 0.8417 0.5838 0.1890
Tm 0.4889 0.7111 0.4438
Tm 0.2888 0.5111 0.0562
Sn 0.5000 0.0000 0.0000
Sm 0.0378 0.7558 0.3231
Sm 0.9537 0.1947 0.4085
Sm 0.7558 0.0378 0.8231
Sm 0.1583 0.4162 0.8110
Sm 0.5838 0.8417 0.6890
Sm 0.2442 0.9622 0.1769

---

8.
## Sm4Tm3Sn4 (PBE)

Data for a geometry-optimized Sm4Tm3Sn4 structure.

Summary:
VASP energy: -4.922 eV per atom
Symmetry: Immm

Lattice parameters (Å, degrees): 3.5307 9.5458 10.7342 116.40 99.47 90.00
Sites, in units of the cell vectors:
Tm 0.9091 0.9091 0.8183
Sm 0.6625 0.4849 0.3250
Sn 0.7243 0.2243 0.4486
Sn 0.5000 0.7805 0.0000
Tm 0.0000 0.5000 0.0000
Sm 0.3375 0.1599 0.6750
Sn 0.2757 0.7757 0.5514
Tm 0.0909 0.0909 0.1817
Sn 0.5000 0.2195 0.0000
Sm 0.6625 0.8401 0.3250
Sm 0.3375 0.5151 0.6750